# 1
This record from Alexandria via LeMat-Bulk describes MgBiPt3 after structural relaxation. The functional is PBE.

Cell lengths 4.710, 4.710, 4.710 Å; angles 90.00, 90.00, 90.00 degrees
Fractional coordinates of all 5 atoms:
Mg1 0.000 0.000 0.000
Bi1 0.500 0.500 0.500
Pt1 0.000 0.000 0.500
Pt2 0.000 0.500 0.000
Pt3 0.500 0.000 0.000

Output
Energy of formation ... 0.431 eV/atom
V ... 20.9 A^3/atom
Total moment ... 0.00 μB per atom

# 2
This record from Alexandria via LeMat-Bulk describes Mg7NbH16 after structural relaxation. The functional is PBE.

Cell lengths 6.615, 6.615, 6.615 Å; angles 60.00, 60.00, 60.00 degrees
Fractional coordinates of all 24 atoms:
Mg1 0.000 0.000 0.000
Mg2 0.000 0.000 0.500
Mg3 0.000 0.500 0.000
Mg4 0.000 0.500 0.500
Mg5 0.500 0.000 0.000
Mg6 0.500 0.000 0.500
Mg7 0.500 0.500 0.000
Nb1 0.500 0.500 0.500
H1 0.128 0.128 0.128
H2 0.128 0.128 0.617
H3 0.128 0.617 0.128
H4 0.140 0.620 0.620
H5 0.380 0.380 0.380
H6 0.380 0.380 0.860
H7 0.380 0.860 0.380
H8 0.383 0.872 0.872
H9 0.617 0.128 0.128
H10 0.620 0.140 0.620
H11 0.620 0.620 0.140
H12 0.620 0.620 0.620
H13 0.860 0.380 0.380
H14 0.872 0.383 0.872
H15 0.872 0.872 0.383
H16 0.872 0.872 0.872

Output
V ... 8.5 A^3/atom
Electronic total energy ... -78.467 eV for the cell shown
Total moment ... 0.04 μB per atom

# 3
This record from Alexandria via LeMat-Bulk describes Sr3DyTe4 after structural relaxation. The functional is PBE.

Cell lengths 8.030, 8.030, 4.606 Å; angles 90.00, 90.00, 109.20 degrees
Fractional coordinates of all 8 atoms:
Sr1 0.000 0.000 0.000
Sr2 0.000 0.500 0.500
Sr3 0.500 0.000 0.500
Dy1 0.500 0.500 0.000
Te1 0.259 0.741 0.000
Te2 0.265 0.265 0.500
Te3 0.735 0.735 0.500
Te4 0.741 0.259 0.000

Output
V ... 35.1 A^3/atom
Total moment ... 0.00 μB per atom
ΔE_f (raw) ... -12.8 eV/f.u.

# 4
This record from Alexandria via LeMat-Bulk describes AlFe2BIr after structural relaxation. The functional is PBE.

Cell lengths 3.835, 3.835, 4.093 Å; angles 90.00, 90.00, 90.00 degrees
Fractional coordinates of all 5 atoms:
Al1 0.000 0.000 0.000
Fe1 0.000 0.500 0.500
Fe2 0.500 0.000 0.500
B1 0.500 0.500 0.500
Ir1 0.500 0.500 0.000

Output
Energy of formation ... -0.230 eV/atom
V ... 12.0 A^3/atom
Total moment ... 0.61 μB per atom

# 5
This record from Alexandria via LeMat-Bulk describes Sm3U5C12 after structural relaxation. The functional is PBE.

Cell lengths 12.030, 12.030, 12.030 Å; angles 109.47, 109.47, 109.47 degrees
Fractional coordinates of all 80 atoms:
Sm1 0.125 0.250 0.375
Sm2 0.125 0.375 0.750
Sm3 0.250 0.375 0.125
Sm4 0.250 0.875 0.625
Sm5 0.375 0.125 0.250
Sm6 0.375 0.750 0.125
Sm7 0.625 0.250 0.875
Sm8 0.625 0.875 0.750
Sm9 0.750 0.125 0.375
Sm10 0.750 0.625 0.875
Sm11 0.875 0.625 0.250
Sm12 0.875 0.750 0.625
U1 0.000 0.000 0.000
U2 0.000 0.000 0.500
U3 0.000 0.500 0.000
U4 0.000 0.500 0.500
U5 0.125 0.750 0.875
U6 0.125 0.875 0.250
U7 0.250 0.125 0.875
U8 0.250 0.625 0.375
U9 0.375 0.250 0.625
U10 0.375 0.625 0.750
U11 0.500 0.000 0.000
U12 0.500 0.000 0.500
U13 0.500 0.500 0.000
U14 0.500 0.500 0.500
U15 0.625 0.375 0.250
U16 0.625 0.750 0.375
U17 0.750 0.375 0.625
U18 0.750 0.875 0.125
U19 0.875 0.125 0.750
U20 0.875 0.250 0.125
C1 0.029 0.204 0.128
C2 0.029 0.325 0.900
C3 0.075 0.704 0.675
C4 0.075 0.872 0.400
C5 0.100 0.628 0.425
C6 0.100 0.971 0.675
C7 0.128 0.029 0.204
C8 0.128 0.600 0.925
C9 0.175 0.204 0.575
C10 0.175 0.471 0.600
C11 0.204 0.128 0.029
C12 0.204 0.575 0.175
C13 0.296 0.325 0.925
C14 0.296 0.471 0.372
C15 0.325 0.900 0.029
C16 0.325 0.925 0.296
C17 0.372 0.296 0.471
C18 0.372 0.575 0.900
C19 0.400 0.075 0.872
C20 0.400 0.825 0.529
C21 0.425 0.100 0.628
C22 0.425 0.825 0.796
C23 0.471 0.372 0.296
C24 0.471 0.600 0.175
C25 0.529 0.400 0.825
C26 0.529 0.628 0.704
C27 0.575 0.175 0.204
C28 0.575 0.900 0.372
C29 0.600 0.175 0.471
C30 0.600 0.925 0.128
C31 0.628 0.425 0.100
C32 0.628 0.704 0.529
C33 0.675 0.075 0.704
C34 0.675 0.100 0.971
C35 0.704 0.529 0.628
C36 0.704 0.675 0.075
C37 0.796 0.425 0.825
C38 0.796 0.872 0.971
C39 0.825 0.529 0.400
C40 0.825 0.796 0.425
C41 0.872 0.400 0.075
C42 0.872 0.971 0.796
C43 0.900 0.029 0.325
C44 0.900 0.372 0.575
C45 0.925 0.128 0.600
C46 0.925 0.296 0.325
C47 0.971 0.675 0.100
C48 0.971 0.796 0.872

Output
Energy of formation ... 0.638 eV/atom
V ... 16.8 A^3/atom
Total moment ... 0.00 μB per atom

# 6
This record from Alexandria via LeMat-Bulk describes CdSnHgGe after structural relaxation. The functional is PBE.

Cell lengths 5.150, 5.150, 5.150 Å; angles 60.00, 60.00, 60.00 degrees
Fractional coordinates of all 4 atoms:
Cd1 0.000 0.000 0.000
Sn1 0.500 0.500 0.500
Hg1 0.750 0.750 0.750
Ge1 0.250 0.250 0.250

Output
Energy of formation ... 0.149 eV/atom
V ... 24.1 A^3/atom
Total moment ... 0.00 μB per atom

# 7
This record from Alexandria via LeMat-Bulk describes BAu4 after structural relaxation. The functional is PBE.

Cell lengths 4.387, 4.387, 4.387 Å; angles 90.00, 90.00, 90.00 degrees
Fractional coordinates of all 5 atoms:
B1 0.000 0.000 0.000
Au1 0.000 0.000 0.500
Au2 0.000 0.500 0.000
Au3 0.500 0.000 0.000
Au4 0.500 0.500 0.500

Output
Energy of formation ... 0.326 eV/atom
V ... 16.9 A^3/atom
Total moment ... 0.00 μB per atom

# 8
This record from Alexandria via LeMat-Bulk describes Tl5Au3 after structural relaxation. The functional is PBE.

Cell lengths 6.479, 6.479, 4.975 Å; angles 90.00, 90.00, 97.00 degrees
Fractional coordinates of all 8 atoms:
Tl1 0.000 0.000 0.000
Tl2 0.000 0.500 0.000
Tl3 0.294 0.294 0.500
Tl4 0.500 0.000 0.000
Tl5 0.706 0.706 0.500
Au1 0.217 0.783 0.500
Au2 0.500 0.500 0.000
Au3 0.783 0.217 0.500

Output
Energy of formation ... 0.028 eV/atom
V ... 25.9 A^3/atom
Total moment ... 0.00 μB per atom